Compound: CaMnP
Source: the Alexandria database
Functional: PBE
Structure: relaxed

Lattice parameters (Å, degrees): 5.641 5.641 3.080 74.16 74.15 31.69
Element x y z (fractional)
Ca 0.001 0.001 0.999
Mn 0.289 0.289 0.711
P 0.710 0.710 0.290

Calculated values
theoretical density	4.237	g/cm³
calculated formation energy	-82	kJ/mol of formula units
E_tot	-0.214	Ha/atom

***

Compound: DyAlSi
Source: the Alexandria database
Functional: PBE
Structure: relaxed

Lattice parameters (Å, degrees): 4.003 5.527 5.714 90.00 90.00 111.22
Element x y z (fractional)
Si 0.599 0.198 0.750
Si 0.401 0.802 0.250
Al 0.000 0.000 0.500
Al 0.000 0.000 0.000
Dy 0.695 0.391 0.250
Dy 0.305 0.609 0.750

Calculated values
theoretical density	6.131	g/cm³
formation energy (no corrections)	-1.9	eV/f.u.
E_tot	-0.192	Ha/atom

***

Compound: CuReAgH2
Source: the Alexandria database
Functional: PBE
Structure: relaxed

Lattice parameters (Å, degrees): 3.671 5.110 3.671 90.00 90.00 90.00
Element x y z (fractional)
Re 0.500 0.500 0.500
Cu 0.000 0.000 0.000
Ag 0.000 0.500 0.000
H 0.000 0.000 0.500
H 0.500 0.000 0.000

Calculated values
theoretical density	8.671	g/cm³
E_tot	-0.140	Ha/atom

***

Number 1: calculated volume 16.5 Å³/atom. Number 2: calculated volume 19.6 Å³/atom. Number 3: calculated volume 13.8 Å³/atom.